Entry 1:
{"formula": "Ce5SiSb4", "functional": "PBE", "state": "optimized geometry", "raw_formation_energy_kcal_per_mol_atoms": -20.86, "e_tot_ev_per_cell": -60.63, "m_tot_mub_per_atom": 0.346, "n_ef_per_ev_cell": 26.74, "spacegroup": "I4/mmm (139)", "cell": [[-2.223, 2.223, 15.678], [2.223, -2.223, 15.678], [2.223, 2.223, -15.678]], "species": ["Ce", "Ce", "Ce", "Ce", "Ce", "Si", "Sb", "Sb", "Sb", "Sb"], "frac_coords": [[0.000, 0.000, 0.000], [0.200, 0.200, 0.000], [0.405, 0.405, 0.000], [0.595, 0.595, 0.000], [0.800, 0.800, 0.000], [0.500, 0.500, 0.000], [0.100, 0.100, 0.000], [0.302, 0.302, 0.000], [0.698, 0.698, 0.000], [0.900, 0.900, 0.000]]}

Entry 2:
{"formula": "Ba2GeAu2", "functional": "PBE", "state": "optimized geometry", "e_tot_ev_per_cell": -35.14, "m_tot_mub_per_atom": 0.000, "de_polymorph_mev_per_atom": 138, "n_ef_per_ev_cell": 6.16, "spacegroup": "P4/mbm (127)", "cell": [[8.220, 0.000, 0.000], [0.000, 8.220, 0.000], [0.000, 0.000, 4.557]], "species": ["Ba", "Ba", "Ba", "Ba", "Ge", "Ge", "Au", "Au", "Au", "Au"], "frac_coords": [[0.182, 0.318, 0.000], [0.318, 0.818, 0.000], [0.682, 0.182, 0.000], [0.818, 0.682, 0.000], [0.000, 0.000, 0.500], [0.500, 0.500, 0.500], [0.123, 0.623, 0.500], [0.377, 0.123, 0.500], [0.623, 0.877, 0.500], [0.877, 0.377, 0.500]]}

Entry 3:
{"formula": "CdWCl", "functional": "PBE", "state": "optimized geometry", "raw_formation_energy_kcal_per_mol_atoms": 39.04, "e_tot_ev_per_cell": -10.64, "m_tot_mub_per_atom": 0.000, "de_polymorph_mev_per_atom": 1470, "n_ef_per_ev_cell": 2.77, "spacegroup": "F-43m (216)", "cell": [[0.000, 3.119, 3.119], [3.119, 0.000, 3.119], [3.119, 3.119, 0.000]], "species": ["Cd", "W", "Cl"], "frac_coords": [[0.000, 0.000, 0.000], [0.500, 0.500, 0.500], [0.250, 0.250, 0.250]]}

Entry 4:
{"formula": "RbBeRuSe2", "functional": "PBE", "state": "optimized geometry", "raw_formation_energy_kcal_per_mol_atoms": 9.11, "e_tot_ev_per_cell": -18.96, "m_tot_mub_per_atom": 0.216, "n_ef_per_ev_cell": 4.71, "spacegroup": "P4/mmm (123)", "cell": [[4.964, 0.000, 0.000], [0.000, 4.964, 0.000], [0.000, 0.000, 4.327]], "species": ["Rb", "Be", "Ru", "Se", "Se"], "frac_coords": [[0.000, 0.000, 0.000], [0.500, 0.500, 0.500], [0.500, 0.500, 0.000], [0.000, 0.500, 0.500], [0.500, 0.000, 0.500]]}

Entry 5:
{"formula": "SmH7Ru2", "functional": "PBE", "state": "optimized geometry", "e_tot_ev_per_cell": -48.65, "m_tot_mub_per_atom": 0.000, "n_ef_per_ev_cell": 4.40, "spacegroup": "Cmmm (65)", "cell": [[2.761, -4.281, 0.000], [2.761, 4.281, 0.000], [0.000, 0.000, 3.585]], "species": ["Sm", "H", "H", "H", "H", "H", "H", "H", "Ru", "Ru"], "frac_coords": [[0.000, 0.000, 0.000], [0.061, 0.331, 0.500], [0.300, 0.700, 0.000], [0.331, 0.061, 0.500], [0.500, 0.500, 0.500], [0.669, 0.939, 0.500], [0.700, 0.300, 0.000], [0.939, 0.669, 0.500], [0.301, 0.699, 0.500], [0.699, 0.301, 0.500]]}

Entry 6:
{"formula": "Na2AcTh2Te6", "functional": "PBE", "state": "optimized geometry", "raw_formation_energy_kcal_per_mol_atoms": -27.93, "e_tot_ev_per_cell": -53.76, "m_tot_mub_per_atom": 0.000, "n_ef_per_ev_cell": 5.24, "spacegroup": "C2/m (12)", "cell": [[3.927, -6.893, 0.000], [3.927, 6.893, 0.000], [-2.600, 0.000, 7.611]], "species": ["Na", "Na", "Ac", "Th", "Th", "Te", "Te", "Te", "Te", "Te", "Te"], "frac_coords": [[0.161, 0.839, 0.000], [0.839, 0.161, 0.000], [0.000, 0.000, 0.500], [0.334, 0.666, 0.500], [0.666, 0.334, 0.500], [0.079, 0.428, 0.743], [0.272, 0.272, 0.255], [0.428, 0.079, 0.743], [0.572, 0.921, 0.257], [0.728, 0.728, 0.745], [0.921, 0.572, 0.257]]}

Entry 7:
{"formula": "SiGe3Cl", "functional": "PBE", "state": "optimized geometry", "raw_formation_energy_kcal_per_mol_atoms": 13.09, "e_tot_ev_per_cell": -18.28, "m_tot_mub_per_atom": 0.000, "de_polymorph_mev_per_atom": 0, "n_ef_per_ev_cell": 5.15, "spacegroup": "Pm-3m (221)", "cell": [[4.938, 0.000, 0.000], [0.000, 4.938, 0.000], [0.000, 0.000, 4.938]], "species": ["Si", "Ge", "Ge", "Ge", "Cl"], "frac_coords": [[0.000, 0.000, 0.000], [0.000, 0.000, 0.500], [0.000, 0.500, 0.000], [0.500, 0.000, 0.000], [0.500, 0.500, 0.500]]}

Entry 8:
{"formula": "SrCu2TcBr", "functional": "PBE", "state": "optimized geometry", "raw_formation_energy_kcal_per_mol_atoms": 40.60, "e_tot_ev_per_cell": -13.11, "m_tot_mub_per_atom": 0.545, "n_ef_per_ev_cell": 5.51, "spacegroup": "P4/mmm (123)", "cell": [[5.370, 0.000, 0.000], [0.000, 5.370, 0.000], [0.000, 0.000, 5.499]], "species": ["Sr", "Cu", "Cu", "Tc", "Br"], "frac_coords": [[0.000, 0.000, 0.000], [0.000, 0.500, 0.000], [0.500, 0.000, 0.000], [0.000, 0.000, 0.500], [0.500, 0.500, 0.500]]}

Entry 9:
{"formula": "LiNbN", "functional": "PBE", "state": "optimized geometry", "raw_formation_energy_kcal_per_mol_atoms": -11.04, "e_tot_ev_per_cell": -43.49, "m_tot_mub_per_atom": 0.000, "n_ef_per_ev_cell": 1.27, "spacegroup": "R-3m (166)", "cell": [[1.833, 1.058, 6.134], [-1.833, 1.058, 6.134], [0.000, -2.116, 6.134]], "species": ["Li", "Li", "Nb", "Nb", "N", "N"], "frac_coords": [[0.157, 0.157, 0.157], [0.843, 0.843, 0.843], [0.386, 0.386, 0.386], [0.614, 0.614, 0.614], [0.266, 0.266, 0.266], [0.734, 0.734, 0.734]]}

Entry 10:
{"formula": "LiNdTmIr", "functional": "PBE", "state": "optimized geometry", "e_tot_ev_per_cell": -22.03, "m_tot_mub_per_atom": 0.000, "n_ef_per_ev_cell": 2.97, "spacegroup": "F-43m (216)", "cell": [[0.000, 3.515, 3.515], [3.515, 0.000, 3.515], [3.515, 3.515, 0.000]], "species": ["Li", "Nd", "Tm", "Ir"], "frac_coords": [[0.000, 0.000, 0.000], [0.750, 0.750, 0.750], [0.250, 0.250, 0.250], [0.500, 0.500, 0.500]]}

Entry 11:
{"formula": "Re5Ru", "functional": "PBE", "state": "optimized geometry", "e_tot_ev_per_cell": -67.40, "m_tot_mub_per_atom": 0.001, "de_polymorph_mev_per_atom": 723, "n_ef_per_ev_cell": 5.80, "spacegroup": "P6/mmm (191)", "cell": [[5.059, 0.000, 0.000], [-2.530, 4.382, 0.000], [0.000, 0.000, 4.493]], "species": ["Re", "Re", "Re", "Re", "Re", "Ru"], "frac_coords": [[0.000, 0.500, 0.000], [0.333, 0.667, 0.500], [0.500, 0.000, 0.000], [0.500, 0.500, 0.000], [0.667, 0.333, 0.500], [0.000, 0.000, 0.500]]}

Entry 12:
{"formula": "Ac15Nd4Ho", "functional": "PBE", "state": "optimized geometry", "e_tot_ev_per_cell": -84.73, "m_tot_mub_per_atom": 0.000, "n_ef_per_ev_cell": 33.22, "spacegroup": "P4/mmm (123)", "cell": [[5.534, 0.000, 0.000], [0.000, 5.534, 0.000], [0.000, 0.000, 27.557]], "species": ["Ac", "Ac", "Ac", "Ac", "Ac", "Ac", "Ac", "Ac", "Ac", "Ac", "Ac", "Ac", "Ac", "Ac", "Ac", "Nd", "Nd", "Nd", "Nd", "Ho"], "frac_coords": [[0.000, 0.000, 0.000], [0.000, 0.000, 0.199], [0.000, 0.000, 0.400], [0.000, 0.000, 0.600], [0.000, 0.000, 0.801], [0.000, 0.500, 0.099], [0.000, 0.500, 0.299], [0.000, 0.500, 0.500], [0.000, 0.500, 0.701], [0.000, 0.500, 0.901], [0.500, 0.000, 0.099], [0.500, 0.000, 0.299], [0.500, 0.000, 0.500], [0.500, 0.000, 0.701], [0.500, 0.000, 0.901], [0.500, 0.500, 0.199], [0.500, 0.500, 0.400], [0.500, 0.500, 0.600], [0.500, 0.500, 0.801], [0.500, 0.500, 0.000]]}

Entry 13:
{"formula": "GdHg2Ge", "functional": "PBE", "state": "optimized geometry", "e_tot_ev_per_cell": -20.86, "m_tot_mub_per_atom": 1.749, "n_ef_per_ev_cell": 1.62, "spacegroup": "P4/mmm (123)", "cell": [[4.335, 0.000, 0.000], [0.000, 4.335, 0.000], [0.000, 0.000, 4.959]], "species": ["Gd", "Hg", "Hg", "Ge"], "frac_coords": [[0.000, 0.000, 0.000], [0.000, 0.500, 0.500], [0.500, 0.000, 0.500], [0.500, 0.500, 0.000]]}

Entry 14:
{"formula": "Al2SeCl", "functional": "PBE", "state": "optimized geometry", "raw_formation_energy_kcal_per_mol_atoms": -14.18, "e_tot_ev_per_cell": -15.28, "m_tot_mub_per_atom": 0.000, "de_polymorph_mev_per_atom": 20, "n_ef_per_ev_cell": 0.56, "spacegroup": "Pm (6)", "cell": [[4.839, 0.000, 0.000], [0.000, 3.603, 0.000], [-2.382, 0.000, 6.232]], "species": ["Al", "Al", "Se", "Cl"], "frac_coords": [[0.000, 0.000, 0.000], [0.369, 0.500, 0.925], [0.859, 0.500, 0.207], [0.564, 0.000, 0.700]]}

Entry 15:
{"formula": "MgScNi", "functional": "PBE", "state": "optimized geometry", "e_tot_ev_per_cell": -14.09, "m_tot_mub_per_atom": 0.000, "n_ef_per_ev_cell": 2.29, "spacegroup": "F-43m (216)", "cell": [[0.000, 3.095, 3.095], [3.095, 0.000, 3.095], [3.095, 3.095, 0.000]], "species": ["Mg", "Sc", "Ni"], "frac_coords": [[0.000, 0.000, 0.000], [0.500, 0.500, 0.500], [0.250, 0.250, 0.250]]}

Entry 16:
{"formula": "Rb2AlAs2", "functional": "PBE", "state": "optimized geometry", "e_tot_ev_per_cell": -34.40, "m_tot_mub_per_atom": 0.112, "de_polymorph_mev_per_atom": 0, "n_ef_per_ev_cell": 9.45, "spacegroup": "Ibam (72)", "cell": [[-3.793, 7.121, 3.215], [3.793, -7.121, 3.215], [3.793, 7.121, -3.215]], "species": ["Rb", "Rb", "Rb", "Rb", "Al", "Al", "As", "As", "As", "As"], "frac_coords": [[0.148, 0.165, 0.313], [0.352, 0.665, 0.017], [0.648, 0.335, 0.983], [0.852, 0.835, 0.687], [0.250, 0.750, 0.500], [0.750, 0.250, 0.500], [0.097, 0.677, 0.774], [0.403, 0.177, 0.580], [0.597, 0.823, 0.420], [0.903, 0.323, 0.226]]}

Entry 17:
{"formula": "Na2Mn2Ag", "functional": "PBE", "state": "optimized geometry", "e_tot_ev_per_cell": -38.48, "m_tot_mub_per_atom": 0.683, "de_polymorph_mev_per_atom": 370, "n_ef_per_ev_cell": 8.22, "spacegroup": "P4/mbm (127)", "cell": [[8.668, 0.000, 0.000], [0.000, 8.668, 0.000], [0.000, 0.000, 2.736]], "species": ["Na", "Na", "Na", "Na", "Mn", "Mn", "Mn", "Mn", "Ag", "Ag"], "frac_coords": [[0.206, 0.294, 0.000], [0.294, 0.794, 0.000], [0.706, 0.206, 0.000], [0.794, 0.706, 0.000], [0.077, 0.577, 0.500], [0.423, 0.077, 0.500], [0.577, 0.923, 0.500], [0.923, 0.423, 0.500], [0.000, 0.000, 0.000], [0.500, 0.500, 0.000]]}

Entry 18:
{"formula": "Sr3Th2UP6", "functional": "PBE", "state": "optimized geometry", "e_tot_ev_per_cell": -78.75, "m_tot_mub_per_atom": 0.148, "n_ef_per_ev_cell": 6.42, "spacegroup": "C2/m (12)", "cell": [[3.648, -6.317, 0.000], [3.648, 6.317, 0.000], [-2.434, 0.000, 6.979]], "species": ["Sr", "Sr", "Sr", "Th", "Th", "U", "P", "P", "P", "P", "P", "P"], "frac_coords": [[0.000, 0.000, 0.000], [0.332, 0.668, 0.000], [0.668, 0.332, 0.000], [0.166, 0.834, 0.500], [0.834, 0.166, 0.500], [0.500, 0.500, 0.500], [0.105, 0.427, 0.280], [0.252, 0.252, 0.719], [0.427, 0.105, 0.280], [0.573, 0.895, 0.720], [0.748, 0.748, 0.281], [0.895, 0.573, 0.720]]}

Entry 19:
{"formula": "SiS2I", "functional": "PBE", "state": "optimized geometry", "raw_formation_energy_kcal_per_mol_atoms": -1.42, "e_tot_ev_per_cell": -30.95, "m_tot_mub_per_atom": 0.000, "de_polymorph_mev_per_atom": 270, "n_ef_per_ev_cell": 2.17, "spacegroup": "Ima2 (46)", "cell": [[-3.527, 4.885, 2.857], [3.527, -4.885, 2.857], [3.527, 4.885, -2.857]], "species": ["Si", "Si", "S", "S", "S", "S", "I", "I"], "frac_coords": [[0.118, 0.250, 0.368], [0.882, 0.750, 0.632], [0.130, 0.130, 0.000], [0.130, 0.630, 0.500], [0.464, 0.384, 0.580], [0.804, 0.884, 0.420], [0.317, 0.769, 0.047], [0.722, 0.269, 0.953]]}

Entry 20:
{"formula": "ScTc2Ir", "functional": "PBE", "state": "optimized geometry", "e_tot_ev_per_cell": -35.94, "m_tot_mub_per_atom": 0.000, "de_polymorph_mev_per_atom": 189, "n_ef_per_ev_cell": 5.20, "spacegroup": "Pmmm (47)", "cell": [[2.785, 0.000, 0.000], [0.000, 4.108, 0.000], [0.000, 0.000, 5.566]], "species": ["Sc", "Tc", "Tc", "Ir"], "frac_coords": [[0.000, 0.000, 0.000], [0.500, 0.500, 0.273], [0.500, 0.500, 0.727], [0.000, 0.000, 0.500]]}